(1)
A plane-wave DFT calculation with SCAN was carried out for a PBEsol-optimized structure of ZrGaTeN2.

abc: 3.966 3.966 5.237
angles: 90.00 90.00 90.00
Fractional coordinates of all 5 atoms:
1 Zr 0.000 0.000 0.000
2 Ga 0.500 0.500 0.500
3 Te 0.500 0.500 0.000
4 N 0.000 0.500 0.500
5 N 0.500 0.000 0.500

Summary:
Its calculated total energy is -98.65 eV for the cell shown.

=====

(2)
A plane-wave DFT calculation with SCAN was carried out for a PBEsol-optimized structure of BeZnPt2.

abc: 4.761 4.761 4.291
angles: 106.43 106.43 33.86
Fractional coordinates of all 4 atoms:
1 Be 0.000 0.000 0.000
2 Zn 0.744 0.744 0.364
3 Pt 0.274 0.274 0.890
4 Pt 0.499 0.499 0.515

Summary:
The energy relative to the lowest polymorph listed for this composition is 0.206 eV/atom. The value obtained for the formation enthalpy at 0 K is -56 kJ/mol of atoms. Its calculated total energy is -160.59 eV for the cell shown.

=====

(3)
A plane-wave DFT calculation with SCAN was carried out for a PBEsol-optimized structure of BeCoP2O.

abc: 4.606 4.606 2.822
angles: 90.00 90.00 90.00
Fractional coordinates of all 5 atoms:
1 Be 0.000 0.000 0.000
2 Co 0.500 0.500 0.500
3 P 0.000 0.500 0.000
4 P 0.500 0.000 0.000
5 O 0.000 0.000 0.500

Summary:
Its calculated total energy is -48.23 eV for the cell shown.

=====

(4)
A plane-wave DFT calculation with SCAN was carried out for a PBEsol-optimized structure of TaCo2Pd.

abc: 4.169 4.169 4.169
angles: 60.00 60.00 60.00
Fractional coordinates of all 4 atoms:
1 Ta 0.000 0.000 0.000
2 Co 0.250 0.250 0.250
3 Co 0.750 0.750 0.750
4 Pd 0.500 0.500 0.500

Summary:
The value obtained for the formation enthalpy at 0 K is -8 kJ/mol of atoms. Its calculated total energy is -134.30 eV for the cell shown.

=====

Q: The highest calculated total energy belongs to which entry?
A: BeCoP2O